No. 1
Here is crystalline Sr2TcIr at its relaxed geometry from the Alexandria database. Energies are from PBE.

abc: 11.196 11.196 8.264
angles: 47.36 47.36 90.00
Each line ends with the local moment (μB).
Fractional positions:
Sr: 0.796 0.125 0.250  -0.01
Sr: 0.954 0.625 0.250  -0.01
Sr: 0.375 0.204 0.750  -0.01
Sr: 0.875 0.046 0.750  -0.01
Ir: 0.000 0.000 0.000  0.10
Ir: 0.750 0.250 0.500  0.10
Tc: 0.500 0.500 0.000  1.45
Tc: 0.250 0.750 0.500  1.45

SG: I-42d, No. 122
ΔH_f (0 K) in eV per atom: 0.5212
DFT total energy in eV for the cell shown: -41.01
Theoretical density in kg/m³: 5201
Distance to the lowest polymorph of the same formula in eV per atom: 0.369


No. 2
Here is crystalline LiY2MgAu4 at its relaxed geometry from the Alexandria database. Energies are from PBE.

abc: 4.902 4.902 8.449
angles: 73.14 73.14 60.00
Fractional positions:
Li: 0.500 0.500 0.500
Y: 0.751 0.751 0.747
Y: 0.249 0.249 0.253
Mg: 0.000 0.000 0.000
Au: 0.375 0.375 0.876
Au: 0.876 0.876 0.373
Au: 0.124 0.124 0.627
Au: 0.625 0.625 0.124

SG: R-3m, No. 166
ΔH_f (0 K) in eV per atom: -0.7423
DFT total energy in eV for the cell shown: -35.48
Theoretical density in kg/m³: 9995


- What is the formula in the second record?
  LiY2MgAu4


- What is the formula in the second record?
  LiY2MgAu4